First-principles (PBE-GGA) data for Li2UAgBr8 after structural relaxation, as listed in the Alexandria database.

a b c (Å): 6.893 7.442 9.533
angles (deg): 67.41 80.24 68.94
Space group P-1 (No. 2)
Unique sites:
Li 0.054 0.468 0.173 x2
U 0.500 0.500 0.500 x1
Ag 0.500 0.000 0.000 x1
Br 0.098 0.702 0.558 x2
Br 0.124 0.211 0.041 x2
Br 0.394 0.517 0.230 x2
Br 0.431 0.142 0.645 x2

Formation energy (no corrections)   -1.160 eV/atom
E_tot   -3.772 eV/atom